Material: Sr2TaFeCu
Method: DFT, GGA-PBEsol
State: relaxed

As for the calculated volume: 138.7 Å³/cell. The calculation puts the uncorrected energy at -4.529 eV/atom. The formation energy comes out at 1.377 eV/atom.

a b c (Å): 5.5887 5.5887 4.4420
angles (deg): 90.00 90.00 90.00
Space group P4/mmm (No. 123)
One atom of each set of equivalent atoms:
Sr1 0.0000 0.5000 0.0000 (multiplicity 2)
Ta1 0.0000 0.0000 0.5000 (multiplicity 1)
Fe1 0.5000 0.5000 0.5000 (multiplicity 1)
Cu1 0.5000 0.5000 0.0000 (multiplicity 1)


Material: TaFe3Cu
Method: DFT, GGA-PBEsol
State: relaxed

As for the calculated volume: 85.4 Å³/cell. The calculation puts the uncorrected energy at -7.019 eV/atom. The formation energy comes out at 1.736 eV/atom.

a b c (Å): 4.4039 4.4039 4.4039
angles (deg): 90.00 90.00 90.00
Space group Pm-3m (No. 221)
One atom of each set of equivalent atoms:
Ta1 0.0000 0.0000 0.0000 (multiplicity 1)
Fe1 0.0000 0.0000 0.5000 (multiplicity 3)
Cu1 0.5000 0.5000 0.5000 (multiplicity 1)


Material: TaFe2Cu
Method: DFT, GGA-PBEsol
State: relaxed

As for the calculated volume: 103.4 Å³/cell. The calculation puts the uncorrected energy at -8.527 eV/atom. The formation energy comes out at 0.176 eV/atom.

a b c (Å): 3.2061 4.0850 7.8976
angles (deg): 90.00 90.00 90.00
Space group Cmm2 (No. 35)
One atom of each set of equivalent atoms:
Ta1 0.0000 0.0000 0.0000 (multiplicity 2)
Fe1 0.0000 0.0000 0.5096 (multiplicity 2)
Fe2 0.0000 0.5000 0.7366 (multiplicity 2)
Cu1 0.0000 0.5000 0.2728 (multiplicity 2)


Material: TaFeCu2
Method: DFT, GGA-PBEsol
State: relaxed

As for the calculated volume: 51.1 Å³/cell. The calculation puts the uncorrected energy at -7.452 eV/atom. The formation energy comes out at 0.094 eV/atom.

a b c (Å): 3.0769 3.0993 5.3583
angles (deg): 90.00 90.00 90.00
Space group Pmm2 (No. 25)
One atom of each set of equivalent atoms:
Ta1 0.0000 0.0000 0.0000 (multiplicity 1)
Fe1 0.5000 0.5000 0.2297 (multiplicity 1)
Cu1 0.0000 0.0000 0.4927 (multiplicity 1)
Cu2 0.5000 0.5000 0.7071 (multiplicity 1)


Material: Ta3FeCu
Method: DFT, GGA-PBEsol
State: relaxed

As for the calculated volume: 90.5 Å³/cell. The calculation puts the uncorrected energy at -9.270 eV/atom. The formation energy comes out at 0.920 eV/atom.

a b c (Å): 4.4889 4.4889 4.4889
angles (deg): 90.00 90.00 90.00
Space group Pm-3m (No. 221)
One atom of each set of equivalent atoms:
Ta1 0.0000 0.0000 0.5000 (multiplicity 3)
Fe1 0.0000 0.0000 0.0000 (multiplicity 1)
Cu1 0.5000 0.5000 0.5000 (multiplicity 1)


Material: TaFe2Cu
Method: DFT, GGA-PBEsol
State: relaxed

As for the calculated volume: 99.3 Å³/cell. The calculation puts the uncorrected energy at -8.664 eV/atom. The formation energy comes out at 0.039 eV/atom.

a b c (Å): 3.7421 3.7421 7.0904
angles (deg): 90.00 90.00 90.00
Space group I4/mmm (No. 139)
One atom of each set of equivalent atoms:
Ta1 0.0000 0.0000 0.0000 (multiplicity 2)
Fe1 0.0000 0.5000 0.2500 (multiplicity 4)
Cu1 0.0000 0.0000 0.5000 (multiplicity 2)